# 1
The following is a PBE calculation of an optimized crystal structure of Tm12InPd5, from Alexandria.

Values from the calculation:
Space group: No. 71
Density of states at the Fermi level, states/eV per atom: 0.910
V, Å³ per cell: 452.5
Formation energy, kJ/mol of atoms: -59
Final energy, eV/cell: -93.3

a b c (Å): 8.388 8.388 8.388
angles (deg): 112.11 110.98 105.40
Fractional coordinates of all 18 atoms:
Tm1 0.038 0.229 0.809
Tm2 0.181 0.284 0.466
Tm3 0.181 0.716 0.897
Tm4 0.326 0.028 0.702
Tm5 0.326 0.625 0.298
Tm6 0.420 0.229 0.191
Tm7 0.580 0.771 0.809
Tm8 0.674 0.375 0.702
Tm9 0.674 0.972 0.298
Tm10 0.819 0.284 0.103
Tm11 0.819 0.716 0.534
Tm12 0.962 0.771 0.191
In1 0.500 0.500 0.000
Pd1 0.000 0.000 0.000
Pd2 0.134 0.634 0.500
Pd3 0.347 0.000 0.347
Pd4 0.653 0.000 0.653
Pd5 0.866 0.366 0.500


# 2
The following is a PBE calculation of an optimized crystal structure of ThMg2Sc4, from Alexandria.

Values from the calculation:
Space group: No. 139
Density of states at the Fermi level, states/eV per atom: 1.411
V, Å³ per cell: 436.3
Formation energy, kJ/mol of atoms: 81
ΔE to the lowest computed polymorph, eV/atom: 0.7967
Final energy, eV/cell: -60.1

a b c (Å): 5.361 5.361 15.178
angles (deg): 90.00 90.00 90.00
Fractional coordinates of all 14 atoms:
Th1 0.000 0.000 0.000
Th2 0.500 0.500 0.500
Mg1 0.000 0.000 0.393
Mg2 0.000 0.000 0.607
Mg3 0.500 0.500 0.107
Mg4 0.500 0.500 0.893
Sc1 0.000 0.000 0.190
Sc2 0.000 0.000 0.810
Sc3 0.000 0.500 0.000
Sc4 0.000 0.500 0.500
Sc5 0.500 0.000 0.000
Sc6 0.500 0.000 0.500
Sc7 0.500 0.500 0.310
Sc8 0.500 0.500 0.690


# 3
The following is a PBE calculation of an optimized crystal structure of Y2Tl2Ag, from Alexandria.

Values from the calculation:
Space group: No. 127
Density of states at the Fermi level, states/eV per atom: 1.109
V, Å³ per cell: 287.4
Formation energy, kJ/mol of atoms: -9
ΔE to the lowest computed polymorph, eV/atom: 0.1799
Final energy, eV/cell: -41.9

a b c (Å): 7.892 7.892 4.614
angles (deg): 90.00 90.00 90.00
Fractional coordinates of all 10 atoms:
Y1 0.156 0.344 0.000
Y2 0.344 0.844 0.000
Y3 0.656 0.156 0.000
Y4 0.844 0.656 0.000
Tl1 0.150 0.650 0.500
Tl2 0.350 0.150 0.500
Tl3 0.650 0.850 0.500
Tl4 0.850 0.350 0.500
Ag1 0.000 0.000 0.000
Ag2 0.500 0.500 0.000


# 4
The following is a PBE calculation of an optimized crystal structure of Sm5InSn2, from Alexandria.

Values from the calculation:
Space group: No. 139
Density of states at the Fermi level, states/eV per atom: 1.111
V, Å³ per cell: 458.8
Formation energy, kJ/mol of atoms: -46
ΔE to the lowest computed polymorph, eV/atom: 0.0796
Final energy, eV/cell: -76.3

a b c (Å): 6.974 6.974 9.431
angles (deg): 90.00 90.00 90.00
Fractional coordinates of all 16 atoms:
Sm1 0.000 0.000 0.000
Sm2 0.250 0.250 0.250
Sm3 0.250 0.250 0.750
Sm4 0.250 0.750 0.250
Sm5 0.250 0.750 0.750
Sm6 0.500 0.500 0.500
Sm7 0.750 0.250 0.250
Sm8 0.750 0.250 0.750
Sm9 0.750 0.750 0.250
Sm10 0.750 0.750 0.750
In1 0.000 0.000 0.500
In2 0.500 0.500 0.000
Sn1 0.000 0.500 0.000
Sn2 0.000 0.500 0.500
Sn3 0.500 0.000 0.000
Sn4 0.500 0.000 0.500


# 5
The following is a PBE calculation of an optimized crystal structure of TaCdRu2, from Alexandria.

Values from the calculation:
Space group: No. 12
Density of states at the Fermi level, states/eV per atom: 0.421
V, Å³ per cell: 133.3
Formation energy, kJ/mol of atoms: 11
Final energy, eV/cell: -61.7

a b c (Å): 8.989 3.014 5.087
angles (deg): 90.00 104.65 90.00
Fractional coordinates of all 8 atoms:
Ta1 0.000 0.000 0.000
Ta2 0.500 0.500 0.000
Cd1 0.000 0.500 0.500
Cd2 0.500 0.000 0.500
Ru1 0.235 0.500 0.225
Ru2 0.265 0.000 0.775
Ru3 0.735 0.000 0.225
Ru4 0.765 0.500 0.775


# 6
The following is a PBE calculation of an optimized crystal structure of Zn3Fe2, from Alexandria.

Values from the calculation:
Space group: No. 166
Density of states at the Fermi level, states/eV per atom: 0.460
V, Å³ per cell: 208.5
Formation energy, kJ/mol of atoms: 14
ΔE to the lowest computed polymorph, eV/atom: 0.1394
Final energy, eV/cell: -60.1

a b c (Å): 4.963 4.963 9.774
angles (deg): 90.00 90.00 120.00
Fractional coordinates of all 15 atoms:
Zn1 0.000 0.500 0.000
Zn2 0.167 0.333 0.333
Zn3 0.167 0.833 0.333
Zn4 0.333 0.167 0.667
Zn5 0.500 0.000 0.000
Zn6 0.500 0.500 0.000
Zn7 0.667 0.833 0.333
Zn8 0.833 0.167 0.667
Zn9 0.833 0.667 0.667
Fe1 0.000 0.000 0.117
Fe2 0.000 0.000 0.883
Fe3 0.333 0.667 0.550
Fe4 0.333 0.667 0.784
Fe5 0.667 0.333 0.216
Fe6 0.667 0.333 0.450


# 7
The following is a PBE calculation of an optimized crystal structure of YCo2Si, from Alexandria.

Values from the calculation:
Space group: No. 123
Uncorrected formation energy, kJ/mol of formula units: -60
Density of states at the Fermi level, states/eV per atom: 0.769
V, Å³ per cell: 58.0
Final energy, eV/cell: -26.7

a b c (Å): 4.190 4.190 3.303
angles (deg): 90.00 90.00 90.00
Fractional coordinates of all 4 atoms:
Y1 0.000 0.000 0.000
Co1 0.000 0.500 0.500
Co2 0.500 0.000 0.500
Si1 0.500 0.500 0.000


# 8
The following is a PBE calculation of an optimized crystal structure of Rb2YBeC, from Alexandria.

Values from the calculation:
Space group: No. 123
Density of states at the Fermi level, states/eV per atom: 0.599
V, Å³ per cell: 190.1
Formation energy, kJ/mol of atoms: 112
Final energy, eV/cell: -15.6

a b c (Å): 6.518 6.518 4.475
angles (deg): 90.00 90.00 90.00
Fractional coordinates of all 5 atoms:
Rb1 0.000 0.500 0.000
Rb2 0.500 0.000 0.000
Y1 0.000 0.000 0.500
Be1 0.500 0.500 0.500
C1 0.000 0.000 0.000